[1]
This record from Alexandria via LeMat-Bulk describes SnBiI2 after structural relaxation. The functional is PBE-GGA.

POSCAR file:
```
SnBiI2
1.0
-3.203 -1.097 1.954
-2.611 -2.362 -1.697
3.490 -9.984 4.025
I Sn Bi
2 1 1
Direct
0.907 0.907 0.280
0.093 0.093 0.720
0.500 0.500 0.500
0.000 0.000 0.000
```

Summary:
- ΔE_f (raw) (eV/f.u.) = -0.053
- energy above the most stable polymorph in this dataset (meV per atom) = 0

=====

[2]
This record from Alexandria via LeMat-Bulk describes YGaRh after structural relaxation. The functional is PBE-GGA.

POSCAR file:
```
YGaRh
1.0
-1.027 0.279 3.702
0.680 -2.925 2.413
4.502 1.123 3.168
Ga Y Rh
1 1 1
Direct
0.528 0.528 0.415
0.336 0.336 0.992
0.121 0.121 0.636
```

Summary:
- energy of formation (eV/f.u.) = -1.522

=====

[3]
This record from Alexandria via LeMat-Bulk describes ErInSn2Se5 after structural relaxation. The functional is PBE-GGA.

POSCAR file:
```
ErInSn2Se5
1.0
4.084 0.000 0.000
-2.042 9.474 0.000
0.000 0.000 13.555
Se Sn Er In
10 4 2 2
Direct
0.318 0.635 0.375
0.703 0.406 0.170
0.656 0.311 0.517
0.041 0.081 0.051
0.297 0.594 0.670
0.682 0.365 0.875
0.469 0.938 0.775
0.344 0.689 0.017
0.531 0.062 0.275
0.959 0.919 0.551
0.131 0.262 0.323
0.150 0.301 0.661
0.850 0.699 0.161
0.869 0.738 0.823
0.195 0.391 0.021
0.805 0.609 0.521
0.547 0.094 0.930
0.453 0.906 0.430
```

Summary:
- ΔE_f (raw) (eV/f.u.) = -7.558

=====

[4]
This record from Alexandria via LeMat-Bulk describes MnTePt2 after structural relaxation. The functional is PBE-GGA.

POSCAR file:
```
MnTePt2
1.0
-4.155 0.842 4.304
-2.967 -2.953 4.356
-0.693 -0.134 6.000
Mn Pt Te
1 2 1
Direct
0.738 0.738 0.738
0.255 0.255 0.255
0.005 0.005 0.005
0.502 0.502 0.502
```

Summary:
- ΔE_f (raw) (eV/f.u.) = 0.112

=====

[5]
This record from Alexandria via LeMat-Bulk describes LaPrEr2Th after structural relaxation. The functional is PBE-GGA.

POSCAR file:
```
LaPrEr2Th
1.0
5.707 0.000 0.000
0.000 8.635 1.480
0.000 -1.204 6.992
Th Er Pr La
2 4 2 2
Direct
0.500 0.000 0.250
0.500 0.000 0.750
0.500 0.680 0.000
0.500 0.680 0.500
0.500 0.320 0.500
0.500 0.320 0.000
0.000 0.500 0.250
0.000 0.500 0.750
0.000 0.000 0.000
0.000 0.000 0.500
```

Summary:
- energy of formation (eV/f.u.) = 1.289

=====

[6]
This record from Alexandria via LeMat-Bulk describes KRbOs2Pb after structural relaxation. The functional is PBE-GGA.

POSCAR file:
```
KRbOs2Pb
1.0
-3.278 1.060 3.626
1.482 -4.055 2.525
3.536 2.777 2.385
Os K Rb Pb
2 1 1 1
Direct
0.000 0.500 0.000
0.500 0.000 0.000
0.000 0.000 0.500
0.000 0.000 0.000
0.500 0.500 0.500
```

Summary:
- energy of formation (eV/f.u.) = 13.573

=====

[7]
This record from Alexandria via LeMat-Bulk describes ZrCrMo2 after structural relaxation. The functional is PBE-GGA.

POSCAR file:
```
ZrCrMo2
1.0
-1.579 -0.516 -3.337
-2.852 -1.768 1.623
-7.150 7.706 0.111
Zr Cr Mo
2 2 4
Direct
0.000 0.000 0.000
0.750 0.250 0.500
0.500 0.500 0.000
0.250 0.750 0.500
0.134 0.625 0.250
0.616 0.125 0.250
0.875 0.866 0.750
0.375 0.384 0.750
```

Summary:
- energy of formation (eV/f.u.) = 2.906
- energy above the most stable polymorph in this dataset (meV per atom) = 661

=====

[8]
This record from Alexandria via LeMat-Bulk describes RbBiO2F after structural relaxation. The functional is PBE-GGA.

POSCAR file:
```
RbBiO2F
1.0
4.571 0.000 0.000
0.000 4.571 0.000
0.000 0.000 4.670
O F Bi Rb
2 1 1 1
Direct
0.500 0.000 0.000
0.000 0.500 0.000
0.000 0.000 0.500
0.500 0.500 0.500
0.000 0.000 0.000
```

Summary:
- ΔE_f (raw) (eV/f.u.) = 0.152

=====

[9]
This record from Alexandria via LeMat-Bulk describes K2Cd3InAg4 after structural relaxation. The functional is PBE-GGA.

POSCAR file:
```
K2Cd3InAg4
1.0
4.802 0.000 0.000
0.000 4.802 0.000
0.000 0.000 11.830
Cd Ag In K
3 4 1 2
Direct
0.000 0.000 0.500
0.000 0.500 0.129
0.500 0.000 0.871
0.000 0.000 0.000
0.500 0.500 0.000
0.000 0.500 0.366
0.500 0.000 0.634
0.500 0.500 0.500
0.000 0.500 0.758
0.500 0.000 0.242
```

Summary:
- energy of formation (eV/f.u.) = -0.204

=====

[10]
This record from Alexandria via LeMat-Bulk describes BaHf2Br after structural relaxation. The functional is PBE-GGA.

POSCAR file:
```
BaHf2Br
1.0
0.000 3.765 3.765
3.765 0.000 3.765
3.765 3.765 0.000
Hf Ba Br
2 1 1
Direct
0.750 0.750 0.750
0.250 0.250 0.250
0.500 0.500 0.500
0.000 0.000 0.000
```

Summary:
- ΔE_f (raw) (eV/f.u.) = 3.918
- energy above the most stable polymorph in this dataset (meV per atom) = 704

=====

[11]
This record from Alexandria via LeMat-Bulk describes PmSnI after structural relaxation. The functional is PBE-GGA.

POSCAR file:
```
PmSnI
1.0
4.973 -0.408 -0.147
-2.804 4.127 0.147
-2.564 -0.997 11.719
Pm I Sn
2 2 2
Direct
0.091 0.590 0.681
0.909 0.410 0.319
0.527 0.311 0.838
0.473 0.689 0.162
0.673 0.857 0.530
0.327 0.143 0.470
```

Summary:
- ΔE_f (raw) (eV/f.u.) = -2.599
- energy above the most stable polymorph in this dataset (meV per atom) = 108

=====

[12]
This record from Alexandria via LeMat-Bulk describes ScTcRh after structural relaxation. The functional is PBE-GGA.

POSCAR file:
```
ScTcRh
1.0
4.310 0.000 0.000
2.155 3.733 0.000
2.155 1.244 3.519
Sc Tc Rh
1 1 1
Direct
0.250 0.250 0.250
0.000 0.000 0.000
0.500 0.500 0.500
```

Summary:
- energy of formation (eV/f.u.) = 1.865
- energy above the most stable polymorph in this dataset (meV per atom) = 872

=====

Results for magnetic moment: 0.00; 0.00; 0.00; 3.49; 0.00; 0.90; 3.45; 0.54; 0.00; 1.18; 0.00; 2.29 (in Bohr magnetons per cell, following the order of the records).